# 1
Hf3ZrCr | PBE | optimized geometry

The structure in POSCAR format:
```
Hf3ZrCr
1.0
4.834 0.000 0.000
0.000 4.834 0.000
0.000 0.000 4.834
Hf Cr Zr
3 1 1
Direct
0.500 0.000 0.000 Hf
0.000 0.500 0.000 Hf
0.000 0.000 0.500 Hf
0.000 0.000 0.000 Cr
0.500 0.500 0.500 Zr
```

The energy relative to the lowest polymorph listed for this composition comes out at 0.000 eV/atom. The final energy is -9.0783 eV per atom. The value obtained for the energy relative to the elements is 528 meV per atom. The calculation puts the total moment at 0.00 μB per atom. Its space group is Pm-3m (221).

---

# 2
HfZr2Cr | PBE | optimized geometry

The structure in POSCAR format:
```
HfZr2Cr
1.0
3.423 1.068 3.192
0.412 4.483 1.669
-1.182 0.987 4.548
Zr Hf Cr
2 1 1
Direct
0.750 0.750 0.750 Zr
0.250 0.250 0.250 Zr
0.500 0.500 0.500 Hf
0.000 0.000 0.000 Cr
```

The energy relative to the lowest polymorph listed for this composition comes out at 0.164 eV/atom. The final energy is -8.8620 eV per atom. The value obtained for the energy relative to the elements is 306 meV per atom. The calculation puts the total moment at 0.00 μB per atom. Its space group is Fm-3m (225).

---

# 3
Hf2ZrCr | PBE | optimized geometry

The structure in POSCAR format:
```
Hf2ZrCr
1.0
-2.807 -1.214 1.150
1.671 -2.088 1.877
0.086 4.981 5.467
Hf Cr Zr
2 1 1
Direct
0.000 0.000 0.211 Hf
0.000 0.000 0.789 Hf
0.500 0.500 0.000 Cr
0.500 0.500 0.500 Zr
```

The energy relative to the lowest polymorph listed for this composition comes out at 0.000 eV/atom. The final energy is -9.4258 eV per atom. The value obtained for the energy relative to the elements is 94 meV per atom. The calculation puts the total moment at 0.36 μB per atom. Its space group is P4/mmm (123).